Record 1
DFT (PBE) results for crystalline TaMnFeNi at its relaxed geometry.

As for the energy relative to the elements: -0.068 eV/atom.

Lattice parameters (Å, degrees): 4.6019 4.6019 4.6019 132.40 132.40 69.59
Element x y z (fractional)
Ta  0.0000  0.0000  0.0000
Mn  0.5000  0.5000  0.0000
Fe  0.7500  0.2500  0.5000
Ni  0.2500  0.7500  0.5000



Record 2
DFT (PBE) results for crystalline MnFeTcNi at its relaxed geometry.

As for the energy relative to the elements: 0.128 eV/atom.

Lattice parameters (Å, degrees): 4.1473 4.1473 4.1473 60.00 60.00 60.00
Element x y z (fractional)
Mn  0.0000  0.0000  0.0000
Fe  0.5000  0.5000  0.5000
Tc  0.2500  0.2500  0.2500
Ni  0.7500  0.7500  0.7500